Record 1
Material: Li2YAg4
Method: DFT, GGA-PBE
State: optimized geometry

Cell: 5.685 5.685 5.255 Å, 117.36 117.36 77.49°
Atoms (fractional coordinates):
Li: 0.000 0.000 0.249
Li: 0.000 0.000 0.751
Y: 0.500 0.500 0.000
Ag: 0.106 0.501 0.304
Ag: 0.499 0.894 0.696
Ag: 0.501 0.106 0.304
Ag: 0.894 0.499 0.696

Computed properties:
SG	No. 12
formation enthalpy at 0 K	-238	meV/atom

---

Record 2
Material: Li7YAg4
Method: DFT, GGA-PBE
State: optimized geometry

Cell: 7.184 7.184 8.571 Å, 125.11 125.11 40.14°
Atoms (fractional coordinates):
Li: 0.000 0.000 0.000
Li: 0.192 0.192 0.645
Li: 0.278 0.278 0.119
Li: 0.439 0.439 0.580
Li: 0.561 0.561 0.420
Li: 0.722 0.722 0.881
Li: 0.808 0.808 0.355
Y: 0.500 0.500 0.000
Ag: 0.051 0.051 0.758
Ag: 0.193 0.193 0.347
Ag: 0.807 0.807 0.653
Ag: 0.949 0.949 0.242

Computed properties:
SG	No. 12
formation enthalpy at 0 K	10	meV/atom

---

Record 3
Material: LiYAg3
Method: DFT, GGA-PBE
State: optimized geometry

Cell: 9.949 5.466 7.488 Å, 90.00 95.11 90.00°
Atoms (fractional coordinates):
Li: 0.045 0.113 0.332
Li: 0.045 0.387 0.832
Li: 0.955 0.613 0.168
Li: 0.955 0.887 0.668
Y: 0.363 0.646 0.794
Y: 0.363 0.854 0.294
Y: 0.637 0.146 0.706
Y: 0.637 0.354 0.206
Ag: 0.131 0.602 0.485
Ag: 0.131 0.898 0.985
Ag: 0.210 0.091 0.637
Ag: 0.210 0.409 0.137
Ag: 0.394 0.155 0.951
Ag: 0.394 0.345 0.451
Ag: 0.606 0.655 0.549
Ag: 0.606 0.845 0.049
Ag: 0.790 0.591 0.863
Ag: 0.790 0.909 0.363
Ag: 0.869 0.102 0.015
Ag: 0.869 0.398 0.515

Computed properties:
SG	No. 14
formation enthalpy at 0 K	-220	meV/atom

---

Record 4
Material: LiY2Ag2
Method: DFT, GGA-PBE
State: optimized geometry

Cell: 8.819 8.819 8.819 Å, 154.47 154.47 36.41°
Atoms (fractional coordinates):
Li: 0.000 0.000 0.000
Y: 0.395 0.395 0.000
Y: 0.605 0.605 0.000
Ag: 0.250 0.750 0.500
Ag: 0.750 0.250 0.500

Computed properties:
SG	No. 139
formation enthalpy at 0 K	90	meV/atom

---

Record 5
Material: LiYAg3
Method: DFT, GGA-PBE
State: optimized geometry

Cell: 5.544 5.544 5.544 Å, 90.00 90.00 90.00°
Atoms (fractional coordinates):
Li: 0.000 0.000 0.000
Y: 0.500 0.500 0.500
Ag: 0.000 0.500 0.500
Ag: 0.500 0.000 0.500
Ag: 0.500 0.500 0.000

Computed properties:
SG	No. 221
formation enthalpy at 0 K	682	meV/atom

---

Record 6
Material: LiY5Ag4
Method: DFT, GGA-PBE
State: optimized geometry

Cell: 3.639 3.639 18.421 Å, 90.00 90.00 90.00°
Atoms (fractional coordinates):
Li: 0.000 0.000 0.000
Y: 0.500 0.500 0.103
Y: 0.500 0.500 0.301
Y: 0.500 0.500 0.500
Y: 0.500 0.500 0.699
Y: 0.500 0.500 0.897
Ag: 0.000 0.000 0.199
Ag: 0.000 0.000 0.401
Ag: 0.000 0.000 0.599
Ag: 0.000 0.000 0.801

Computed properties:
SG	No. 123
formation enthalpy at 0 K	-245	meV/atom